# AlZnTcAs2 (PBE, relaxed)
# Energy of formation from the pure elements: 1.01 eV per atom
# Relative energy among the computed polymorphs: 0.00 eV/f.u.
# M_tot: 0.19 μB/atom
# Space-group type: P4/mmm, No. 123
data_AlZnTcAs2
_chemical_formula_sum 'Al1 Zn1 Tc1 As2'
_cell_length_a 4.7295
_cell_length_b 4.7579
_cell_length_c 4.7295
_cell_angle_alpha 90.00
_cell_angle_beta 90.00
_cell_angle_gamma 90.00
_symmetry_space_group_name_H-M 'P 1'
_symmetry_Int_Tables_number 1
loop_
_symmetry_equiv_pos_as_xyz
'x,y,z'
loop_
_atom_site_label
_atom_site_type_symbol
_atom_site_fract_x
_atom_site_fract_y
_atom_site_fract_z
Zn1 Zn 0.5000 0.5000 0.5000
As1 As 0.0000 0.0000 0.5000
As2 As 0.5000 0.0000 0.0000
Tc1 Tc 0.0000 0.5000 0.0000
Al1 Al 0.0000 0.0000 0.0000